(1)
10
Lattice="-0.898 0.644 -5.695 4.853 -2.979 -1.106 -0.191 -4.686 -3.462" Properties=species:S:1:pos:R:3 comment="Ba2CdCuH6, optimized geometry, DFT PBE" dos_ef_per_ev_fu=0.87 pbc="T T T"
H 3.215 -1.947 -2.413
H 1.041 -2.689 -3.428
H 1.126 -0.666 -1.936
H 2.724 -4.332 -6.835
H 0.550 -5.075 -7.849
H 2.639 -6.356 -8.326
Cu 1.978 -1.168 -3.400
Ba 0.444 -2.604 -6.279
Ba 3.321 -4.417 -3.983
Cd 0.000 0.000 0.000

(2)
12
Lattice="-1.274 1.680 3.530 -7.700 -2.690 -1.498 4.399 -7.645 2.832" Properties=species:S:1:pos:R:3 comment="Sc6GeSb2Te3, optimized geometry, DFT PBE" formation_energy_uncorrected_kj_per_mol_fu=-1225 dos_ef_per_ev_fu=5.02 pbc="T T T"
Sb -1.301 -3.163 1.036
Sb -3.274 -5.492 3.828
Sc -1.706 -0.607 -0.326
Sc -0.761 -5.674 2.426
Sc -3.813 -2.981 2.438
Sc -0.105 -1.462 3.053
Sc -4.470 -7.193 1.811
Sc -2.869 -8.047 5.190
Ge -0.637 0.840 1.765
Te -5.145 -4.558 0.313
Te 0.570 -4.097 4.551
Te -4.487 -0.505 1.016

(3)
32
Lattice="-0.815 10.420 -3.221 -11.677 -0.978 -0.208 -0.369 2.597 8.492" Properties=species:S:1:pos:R:3 comment="InBi, optimized geometry, DFT PBE" dos_ef_per_ev_fu=0.96 delta_e_f_kj_per_mol_atoms=20 pbc="T T T"
Bi -6.539 8.469 -2.874
Bi -0.522 6.671 -2.062
Bi -9.347 6.269 0.003
Bi -5.953 0.972 -0.556
Bi -9.576 9.192 -0.901
Bi -6.316 4.558 2.983
Bi -0.293 3.748 -1.159
Bi -3.693 8.056 4.353
Bi -0.885 10.256 1.477
Bi -0.299 2.760 3.794
Bi -3.101 1.548 1.717
Bi -3.922 10.979 3.449
Bi -6.545 7.480 2.079
Bi -9.124 2.358 5.859
Bi -3.330 4.471 0.814
Bi -9.353 5.280 4.956
In -2.219 8.337 -0.320
In -4.619 0.927 4.167
In -1.996 6.390 2.610
In -1.404 -0.118 -0.025
In -5.027 8.102 -0.370
In -4.842 4.838 -1.690
In -10.865 5.648 2.452
In -7.427 0.692 4.117
In -10.458 2.403 1.136
In -4.804 4.190 5.487
In -8.242 9.146 3.822
In -11.050 8.911 3.772
In -7.650 2.638 1.187
In -7.650 4.603 -1.740
In -1.996 4.425 5.537
In -10.273 -0.860 -0.183

(4)
8
Lattice="3.577 0.000 0.927 1.211 8.968 2.692 -0.522 -0.917 9.383" Properties=species:S:1:pos:R:3 comment="Ac4Sm3Ho, optimized geometry, DFT PBE" dos_ef_per_ev_fu=12.27 delta_e_f_kj_per_mol_atoms=15 pbc="T T T"
Sm 2.912 1.854 3.494
Sm 0.344 4.026 6.037
Sm 1.354 6.197 9.507
Ac 2.187 7.546 6.294
Ac 1.322 2.616 9.630
Ac 2.079 0.505 6.707
Ac 2.944 5.435 3.371
Ho 1.788 0.000 0.463

(5)
15
Lattice="8.432 0.000 0.000 -4.216 7.303 -0.033 0.000 -4.836 8.584" Properties=species:S:1:pos:R:3 comment="Cs3Sm3HfSe8, optimized geometry, DFT PBE" formation_energy_uncorrected_kj_per_mol_fu=-2402 pbc="T T T"
Sm -2.108 1.233 4.276
Sm 2.108 1.233 4.276
Sm 4.216 -2.418 4.292
Hf 0.000 -2.418 4.292
Se 1.960 -1.294 2.750
Se 0.000 2.443 2.649
Se 4.216 0.024 5.902
Se 6.472 -1.294 2.750
Se 4.216 2.613 2.732
Se 0.000 -0.147 5.819
Se -2.256 3.760 5.801
Se 2.256 3.760 5.801
Cs 2.108 3.652 -0.017
Cs 0.000 0.000 0.000
Cs -2.108 3.652 -0.017

(6)
4
Lattice="3.933 0.000 0.000 0.000 2.897 0.009 0.000 2.898 5.981" Properties=species:S:1:pos:R:3 comment="TaAg2Ir, optimized geometry, DFT PBE" relative_energy_ev_per_atom=0.010 dos_ef_per_ev_fu=3.21 delta_e_f_kj_per_mol_atoms=3 pbc="T T T"
Ir 0.000 2.891 3.149
Ag 1.966 1.445 1.460
Ag 0.000 2.897 0.062
Ta 1.966 4.355 4.323

(7)
12
Lattice="4.752 0.000 1.409 2.167 4.229 1.409 0.003 0.002 8.704" Properties=species:S:1:pos:R:3 comment="Ce3CoNi8, optimized geometry, DFT PBE" dos_ef_per_ev_fu=16.39 delta_e_f_kj_per_mol_atoms=-28 pbc="T T T"
Ce 0.091 0.056 8.407
Ce 4.294 2.625 2.951
Ce 3.398 2.077 5.975
Ni 2.781 0.260 3.659
Ni 1.509 2.391 7.936
Ni 3.911 2.391 8.648
Ni 0.426 0.260 2.961
Ni 5.616 3.433 7.211
Ni 2.157 1.318 1.443
Ni 2.816 0.253 7.936
Ni 1.500 2.356 3.659
Co 0.926 0.566 5.594

(8)
18
Lattice="5.678 0.000 0.000 0.000 8.835 0.000 0.000 0.000 8.835" Properties=species:S:1:pos:R:3 comment="DyEr4Al4, optimized geometry, DFT PBE" dos_ef_per_ev_fu=7.47 delta_e_f_kj_per_mol_atoms=-15 pbc="T T T"
Al 5.154 5.266 2.692
Al 3.362 7.986 1.725
Al 2.315 7.109 7.986
Al 0.524 2.692 3.568
Al 2.315 1.725 0.849
Al 3.362 0.849 7.109
Al 0.524 6.143 5.266
Al 5.154 3.568 6.143
Er 3.451 1.439 3.760
Er 3.451 7.396 5.075
Er 5.066 2.979 0.658
Er 2.227 3.760 7.396
Er 0.612 8.177 2.979
Er 0.612 0.658 5.856
Er 5.066 5.856 8.177
Er 2.227 5.075 1.439
Dy 0.000 0.000 0.000
Dy 2.839 4.417 4.417

(9)
5
Lattice="-2.856 2.638 -2.260 -3.345 -2.877 0.870 -1.015 2.422 4.109" Properties=species:S:1:pos:R:3 comment="NiAs2PSe, optimized geometry, DFT PBE" relative_energy_ev_per_atom=0.000 formation_energy_uncorrected_kj_per_mol_fu=321 dos_ef_per_ev_fu=4.94 pbc="T T T"
As -1.428 1.319 -1.130
As -1.673 -1.439 0.435
P -3.608 1.091 1.359
Ni 0.000 0.000 0.000
Se -0.507 1.211 2.055

(10)
12
Lattice="-3.236 -3.542 5.675 7.062 -2.280 0.390 -0.662 7.386 0.475" Properties=species:S:1:pos:R:3 comment="NaCuAg2Cl8, optimized geometry, DFT PBE" formation_energy_uncorrected_kj_per_mol_fu=-418 dos_ef_per_ev_fu=12.49 pbc="T T T"
Cu 4.157 1.098 1.948
Cl -0.956 4.507 2.088
Cl 2.898 2.437 3.354
Cl -2.473 2.328 4.557
Cl -1.010 0.886 2.250
Cl -1.443 -1.632 5.616
Cl 1.813 -3.226 5.636
Cl 0.958 0.284 5.941
Cl 2.575 -0.590 2.001
Ag 1.913 -2.911 3.032
Ag -0.992 0.467 4.591
Na 0.000 0.000 0.000

(11)
6
Lattice="19.650 0.000 -0.022 5.777 2.523 -1.846 -5.777 2.523 1.846" Properties=species:S:1:pos:R:3 comment="RbAlSn, optimized geometry, DFT PBE" dos_ef_per_ev_fu=0.05 delta_e_f_kj_per_mol_atoms=-6 pbc="T T T"
Sn 5.352 2.523 0.951
Sn 14.298 2.523 -0.973
Al 19.478 2.523 -1.411
Al 0.171 2.523 1.389
Rb 8.143 2.523 -1.576
Rb 11.506 2.523 1.554

(12)
10
Lattice="-1.643 -0.838 -7.304 1.794 -7.303 0.435 -2.685 -0.619 0.675" Properties=species:S:1:pos:R:3 comment="YNb2H2, optimized geometry, DFT PBE" relative_energy_ev_per_atom=0.821 dos_ef_per_ev_fu=3.56 pbc="T T T"
Nb 0.487 -2.880 -0.707
Nb 0.954 -6.750 -2.397
Nb -0.804 -1.391 -4.472
Nb -0.336 -5.262 -6.162
Y 0.000 0.000 0.000
Y 0.075 -4.071 -3.434
H -0.712 -7.389 -3.649
H -2.104 -3.990 -6.065
H -0.430 -4.771 -0.129
H -1.822 -1.372 -2.544

(13)
8
Lattice="4.363 0.000 0.000 2.141 7.609 0.000 0.245 2.171 9.250" Properties=species:S:1:pos:R:3 comment="CaCI2, optimized geometry, DFT PBE" relative_energy_ev_per_atom=0.055 formation_energy_uncorrected_kj_per_mol_fu=-241 dos_ef_per_ev_fu=0.00 pbc="T T T"
I 3.755 1.500 3.137
I 3.985 8.096 8.149
I 1.681 4.872 5.243
I 1.822 4.402 8.840
C 1.563 5.332 2.017
C 1.606 5.112 3.250
Ca 5.918 7.447 0.570
Ca 3.753 3.999 1.387

(14)
10
Lattice="4.254 0.000 -1.355 0.000 4.463 0.000 0.259 0.000 8.169" Properties=species:S:1:pos:R:3 comment="Ti3MoRu, optimized geometry, DFT PBE" relative_energy_ev_per_atom=0.000 dos_ef_per_ev_fu=6.51 delta_e_f_kj_per_mol_atoms=-33 pbc="T T T"
Ti 0.415 3.769 3.376
Ti 1.974 3.769 0.915
Ti 2.548 1.537 2.716
Ti 3.455 1.536 5.564
Ti 1.326 3.768 6.236
Ti 4.107 1.538 0.255
Mo 0.839 1.537 4.705
Mo 3.684 3.769 -1.074
Ru 2.973 3.768 4.053
Ru 1.549 1.537 -0.421

(15)
5
Lattice="-1.490 -4.335 -1.060 -0.022 -1.110 4.572 -4.735 1.541 0.351" Properties=species:S:1:pos:R:3 comment="CsRbNO2, optimized geometry, DFT PBE" formation_energy_uncorrected_kj_per_mol_fu=376 dos_ef_per_ev_fu=2.73 pbc="T T T"
O -0.745 -2.167 -0.530
O -0.011 -0.555 2.286
Rb -3.124 -1.952 1.932
N -2.368 0.771 0.176
Cs 0.000 0.000 0.000

(16)
5
Lattice="5.212 0.000 0.000 0.000 5.212 0.000 0.000 0.000 5.212" Properties=species:S:1:pos:R:3 comment="Tl3AuF, optimized geometry, DFT PBE" relative_energy_ev_per_atom=0.000 formation_energy_uncorrected_kj_per_mol_fu=-248 dos_ef_per_ev_fu=1.33 pbc="T T T"
Tl 0.000 0.000 2.606
Tl 2.606 0.000 0.000
Tl 0.000 2.606 0.000
F 0.000 0.000 0.000
Au 2.606 2.606 2.606

(17)
4
Lattice="-3.008 1.307 2.934 -2.061 -2.380 -1.053 0.514 -3.758 2.201" Properties=species:S:1:pos:R:3 comment="Mn2PSe, optimized geometry, DFT PBE" relative_energy_ev_per_atom=0.125 formation_energy_uncorrected_kj_per_mol_fu=-56 dos_ef_per_ev_fu=3.46 pbc="T T T"
Mn -2.084 -0.921 1.573
Mn -1.844 -2.378 -0.831
Se -1.155 -2.478 3.219
P -0.245 -2.122 0.694

(18)
4
Lattice="6.743 0.076 -0.043 3.693 5.642 0.043 -4.996 -3.264 3.139" Properties=species:S:1:pos:R:3 comment="SrAu, optimized geometry, DFT PBE" dos_ef_per_ev_fu=1.25 delta_e_f_kj_per_mol_atoms=-57 pbc="T T T"
Au 10.046 5.504 0.000
Au 3.873 0.049 1.548
Sr 5.331 2.921 0.000
Sr 1.845 2.556 1.591

(19)
3
Lattice="4.256 0.000 0.000 0.000 4.256 0.000 0.000 0.000 3.744" Properties=species:S:1:pos:R:3 comment="Cd2P, optimized geometry, DFT PBE" relative_energy_ev_per_atom=0.089 dos_ef_per_ev_fu=1.42 delta_e_f_kj_per_mol_atoms=17 pbc="T T T"
Cd 0.000 2.128 1.872
Cd 2.128 0.000 1.872
P 0.000 0.000 0.000

(20)
12
Lattice="-2.334 5.512 1.381 -3.137 0.088 -5.281 -3.043 -6.093 5.328" Properties=species:S:1:pos:R:3 comment="La2Ge3Pt, optimized geometry, DFT PBE" relative_energy_ev_per_atom=0.000 dos_ef_per_ev_fu=3.81 delta_e_f_kj_per_mol_atoms=-92 pbc="T T T"
Ge -4.608 -1.393 4.465
Ge -3.906 0.900 -3.037
Ge -5.007 -4.086 1.157
Ge -6.571 0.614 0.292
Ge -1.942 -1.107 1.136
Ge -3.507 3.594 0.271
Pt -3.854 -2.196 2.253
Pt -4.660 1.704 -0.825
La -4.109 4.206 -2.930
La -4.458 -1.602 -0.951
La -4.056 1.110 2.379
La -1.362 1.394 -0.971

(21)
5
Lattice="-0.310 -2.566 -4.702 5.170 1.088 -0.934 1.400 -4.585 2.410" Properties=species:S:1:pos:R:3 comment="TlInSe3, optimized geometry, DFT PBE" relative_energy_ev_per_atom=0.294 formation_energy_uncorrected_kj_per_mol_fu=13 dos_ef_per_ev_fu=5.06 pbc="T T T"
Se -0.155 -1.283 -2.351
Se 2.585 0.544 -0.467
Se 0.700 -2.292 1.205
Tl 3.130 -3.032 -1.613
In 0.000 0.000 0.000

(22)
4
Lattice="-1.262 2.257 2.165 -2.645 -2.017 0.560 2.768 -2.467 4.186" Properties=species:S:1:pos:R:3 comment="ScSi2Mo, optimized geometry, DFT PBE" relative_energy_ev_per_atom=0.245 formation_energy_uncorrected_kj_per_mol_fu=-113 dos_ef_per_ev_fu=1.52 pbc="T T T"
Si 0.055 -0.049 0.083
Si -1.223 -0.531 2.467
Mo 1.295 -1.155 1.958
Sc 0.119 -1.727 4.496

(23)
5
Lattice="-1.829 -1.788 -3.637 4.052 -0.889 -1.600 -0.093 -4.431 2.225" Properties=species:S:1:pos:R:3 comment="BaCSe2N, optimized geometry, DFT PBE" relative_energy_ev_per_atom=0.000 formation_energy_uncorrected_kj_per_mol_fu=446 dos_ef_per_ev_fu=3.26 pbc="T T T"
Se -0.914 -0.894 -1.818
Se 2.026 -0.444 -0.800
C 0.000 0.000 0.000
N -0.046 -2.216 1.113
Ba 1.065 -3.554 -1.506

What are the E_tot values for these records? In order: -3.131, -6.081, -3.107, -4.243, -5.296, -6.568, -6.224, -4.357, -4.130, -2.518, -2.970, -5.899, -4.206, -9.097, -3.233, -2.964, -6.953, -3.071, -2.235, -5.917, -3.085, -7.295, -4.363 eV per atom.